Record 1
Compound: LiBe5As4
Source: the Alexandria database
Functional: PBE-GGA
Structure: relaxed

Unit cell a=3.733 b=6.327 c=7.398 alpha=115.32 beta=104.61 gamma=90.00
Fractional positions:
1 Li 0.500 0.000 0.000
2 Be 0.831 0.020 0.661
3 Be 0.831 0.641 0.661
4 Be 0.169 0.359 0.339
5 Be 0.169 0.980 0.339
6 Be 0.500 0.500 0.000
7 As 0.000 0.722 0.000
8 As 0.267 0.767 0.535
9 As 0.733 0.233 0.465
10 As 0.000 0.278 0.000

Properties
Mass density, kg/m3: 3850
Magnetic moment, μB per formula unit: 0.00
Energy relative to the elements, eV per formula unit: -0.7
Space group: Immm

=====

Record 2
Compound: LiBeAs2
Source: the Alexandria database
Functional: PBE-GGA
Structure: relaxed

Unit cell a=4.434 b=4.434 c=4.434 alpha=60.00 beta=60.00 gamma=60.00
Fractional positions:
1 Be 0.500 0.500 0.500
2 As 0.250 0.250 0.250
3 As 0.750 0.750 0.750
4 Li 0.000 0.000 0.000

Properties
Mass density, kg/m3: 4465
Magnetic moment, μB per formula unit: 0.00
Energy relative to the elements, eV per formula unit: 0.5
Space group: Fm-3m
E above lowest polymorph, meV per atom: 327

=====

Record 3
Compound: LiBe2As
Source: the Alexandria database
Functional: PBE-GGA
Structure: relaxed

Unit cell a=2.676 b=2.676 c=7.668 alpha=90.00 beta=90.00 gamma=101.35
Fractional positions:
1 As 0.500 0.500 0.750
2 Be 0.000 0.000 0.002
3 Be 0.000 0.000 0.498
4 Li 0.500 0.500 0.250

Properties
Mass density, kg/m3: 3081
Magnetic moment, μB per formula unit: 0.00
Energy relative to the elements, eV per formula unit: 1.9
Space group: Cmmm
E above lowest polymorph, meV per atom: 400

=====

Record 4
Compound: LiBeAs
Source: the Alexandria database
Functional: PBE-GGA
Structure: relaxed

Unit cell a=5.955 b=5.955 c=5.955 alpha=152.33 beta=152.33 gamma=39.53
Fractional positions:
1 As 0.978 0.978 0.000
2 Be 0.344 0.344 0.000
3 Li 0.678 0.678 0.000

Properties
Mass density, kg/m3: 3320
Magnetic moment, μB per formula unit: 0.00
Energy relative to the elements, eV per formula unit: 0.5
Space group: I4mm

=====

Record 5
Compound: Li2BeAs
Source: the Alexandria database
Functional: PBE-GGA
Structure: relaxed

Unit cell a=4.711 b=4.711 c=4.711 alpha=134.82 beta=134.82 gamma=65.80
Fractional positions:
1 As 0.250 0.750 0.500
2 Be 0.750 0.250 0.500
3 Li 0.000 0.000 0.000
4 Li 0.500 0.500 0.000

Properties
Mass density, kg/m3: 3135
Magnetic moment, μB per formula unit: 0.00
Energy relative to the elements, eV per formula unit: -0.7
Space group: I4/mmm
E above lowest polymorph, meV per atom: 51

=====

Record 6
Compound: LiBe2As
Source: the Alexandria database
Functional: PBE-GGA
Structure: relaxed

Unit cell a=4.493 b=4.493 c=4.493 alpha=132.81 beta=132.80 gamma=68.96
Fractional positions:
1 As 0.250 0.750 0.500
2 Be 0.000 0.000 0.000
3 Be 0.500 0.500 0.000
4 Li 0.750 0.250 0.500

Properties
Mass density, kg/m3: 3460
Magnetic moment, μB per formula unit: 0.00
Energy relative to the elements, eV per formula unit: 0.6
Space group: I4/mmm
E above lowest polymorph, meV per atom: 64

=====

Record 7
Compound: LiBeAs2
Source: the Alexandria database
Functional: PBE-GGA
Structure: relaxed

Unit cell a=3.735 b=2.681 c=7.102 alpha=100.57 beta=90.00 gamma=90.00
Fractional positions:
1 As 0.000 0.070 0.757
2 As 0.500 0.328 0.297
3 Be 0.000 0.431 0.478
4 Li 0.500 0.672 0.968

Properties
Mass density, kg/m3: 3938
Magnetic moment, μB per formula unit: 0.00
Energy relative to the elements, eV per formula unit: -0.7
Space group: Pm
E above lowest polymorph, meV per atom: 40

=====

Record 8
Compound: LiBe4As
Source: the Alexandria database
Functional: PBE-GGA
Structure: relaxed

Unit cell a=4.518 b=4.518 c=4.518 alpha=60.00 beta=60.00 gamma=60.00
Fractional positions:
1 Li 0.750 0.750 0.750
2 Be 0.870 0.377 0.377
3 Be 0.377 0.377 0.870
4 Be 0.377 0.870 0.377
5 Be 0.377 0.377 0.377
6 As 0.000 0.000 0.000

Properties
Mass density, kg/m3: 3002
Magnetic moment, μB per formula unit: 0.00
Energy relative to the elements, eV per formula unit: 1.2
Space group: F-43m

=====

Number 1: total DFT energy (no corrections) -3.98 eV per atom. Number 2: total DFT energy (no corrections) -3.62 eV per atom. Number 3: total DFT energy (no corrections) -3.03 eV per atom. Number 4: total DFT energy (no corrections) -3.28 eV per atom. Number 5: total DFT energy (no corrections) -3.23 eV per atom. Number 6: total DFT energy (no corrections) -3.36 eV per atom. Number 7: total DFT energy (no corrections) -3.91 eV per atom. Number 8: total DFT energy (no corrections) -3.38 eV per atom.